ZrSnHg2C, relaxed, DFT GGA-PBE; D(E_F) = 4.4 states/eV/f.u.; DFT formation energy = 186.72 kJ/mol of atoms
1.0
5.3455 0.0000 0.0000
0.0000 5.3455 0.0000
0.0000 0.0000 5.6766
Zr Sn Hg C
1 1 2 1
Direct
0.0000 0.0000 0.0000
0.0000 0.0000 0.5000
0.0000 0.5000 0.5000
0.5000 0.0000 0.5000
0.5000 0.5000 0.0000

SrHgC3, relaxed, DFT GGA-PBE; D(E_F) = 5.6 states/eV/f.u.; DFT formation energy = 247.64 kJ/mol of atoms
1.0
4.4522 0.0000 0.0000
0.0000 4.4522 0.0000
0.0000 0.0000 4.4522
Sr Hg C
1 1 3
Direct
0.0000 0.0000 0.0000
0.5000 0.5000 0.5000
0.0000 0.5000 0.5000
0.5000 0.0000 0.5000
0.5000 0.5000 0.0000

Sr2HgC, relaxed, DFT GGA-PBE; D(E_F) = 2.4 states/eV/f.u.; DFT formation energy = 42.20 kJ/mol of atoms
1.0
-3.9582 3.9582 4.0269
3.9582 -3.9582 4.0269
3.9582 3.9582 -4.0269
Sr Hg C
4 2 2
Direct
0.0360 0.6250 0.9110
0.3750 0.2860 0.4110
0.7140 0.1250 0.0890
0.8750 0.9640 0.5890
0.2500 0.7500 0.5000
0.5000 0.5000 0.0000
0.0000 0.0000 0.0000
0.7500 0.2500 0.5000

SrHgC3, relaxed, DFT GGA-PBE; D(E_F) = 7.6 states/eV/f.u.; DFT formation energy = 336.77 kJ/mol of atoms
1.0
4.7888 0.0000 0.0000
0.0000 4.7888 0.0000
0.0000 0.0000 4.7888
Sr Hg C
1 1 3
Direct
0.0000 0.0000 0.0000
0.5000 0.5000 0.5000
0.0000 0.0000 0.5000
0.0000 0.5000 0.0000
0.5000 0.0000 0.0000

Sr2HgC, relaxed, DFT GGA-PBE; D(E_F) = 0.1 states/eV/f.u.; DFT formation energy = 49.77 kJ/mol of atoms
1.0
0.0000 3.7033 3.7033
3.7033 0.0000 3.7033
3.7033 3.7033 0.0000
Sr Hg C
2 1 1
Direct
0.2500 0.2500 0.2500
0.7500 0.7500 0.7500
0.0000 0.0000 0.0000
0.5000 0.5000 0.5000

Sr2HgTeC, relaxed, DFT GGA-PBE; D(E_F) = 3.4 states/eV/f.u.; formation energy without anion corrections = -0.01 eV/atom
1.0
5.4431 0.0000 0.0000
0.0000 5.4431 0.0000
0.0000 0.0000 4.6728
Sr Hg Te C
2 1 1 1
Direct
0.0000 0.5000 0.0000
0.5000 0.0000 0.0000
0.0000 0.0000 0.5000
0.5000 0.5000 0.5000
0.5000 0.5000 0.0000

TaHgC3, relaxed, DFT GGA-PBE; D(E_F) = 3.0 states/eV/f.u.; DFT formation energy = 185.17 kJ/mol of atoms
1.0
4.2612 0.0000 0.0000
0.0000 4.2612 0.0000
0.0000 0.0000 4.2612
Ta Hg C
1 1 3
Direct
0.0000 0.0000 0.0000
0.5000 0.5000 0.5000
0.0000 0.0000 0.5000
0.0000 0.5000 0.0000
0.5000 0.0000 0.0000

TaHg3C, relaxed, DFT GGA-PBE; D(E_F) = 5.0 states/eV/f.u.; DFT formation energy = 209.21 kJ/mol of atoms
1.0
5.4691 0.0000 0.0000
0.0000 5.4691 0.0000
0.0000 0.0000 5.4691
Ta Hg C
1 3 1
Direct
0.0000 0.0000 0.0000
0.0000 0.0000 0.5000
0.0000 0.5000 0.0000
0.5000 0.0000 0.0000
0.5000 0.5000 0.5000

Ta2HgC, relaxed, DFT GGA-PBE; D(E_F) = 2.2 states/eV/f.u.; DFT formation energy = 123.97 kJ/mol of atoms
1.0
0.0000 3.1600 3.1600
3.1600 0.0000 3.1600
3.1600 3.1600 0.0000
Ta Hg C
2 1 1
Direct
0.2500 0.2500 0.2500
0.7500 0.7500 0.7500
0.0000 0.0000 0.0000
0.5000 0.5000 0.5000

Ta2HgC, relaxed, DFT GGA-PBE; D(E_F) = 1.8 states/eV/f.u.; DFT formation energy = 67.92 kJ/mol of atoms
1.0
-2.7162 2.7162 5.4345
2.7162 -2.7162 5.4345
2.7162 2.7162 -5.4345
Ta Hg C
4 2 2
Direct
0.0053 0.6250 0.8803
0.3750 0.2553 0.3803
0.7447 0.1250 0.1197
0.8750 0.9947 0.6197
0.2500 0.7500 0.5000
0.5000 0.5000 0.0000
0.0000 0.0000 0.0000
0.7500 0.2500 0.5000

TaHgC3, relaxed, DFT GGA-PBE; D(E_F) = 3.6 states/eV/f.u.; DFT formation energy = 324.20 kJ/mol of atoms
1.0
4.1213 0.0000 0.0000
0.0000 4.1213 0.0000
0.0000 0.0000 4.1213
Ta Hg C
1 1 3
Direct
0.0000 0.0000 0.0000
0.5000 0.5000 0.5000
0.0000 0.5000 0.5000
0.5000 0.0000 0.5000
0.5000 0.5000 0.0000

TaHg3C, relaxed, DFT GGA-PBE; D(E_F) = 2.9 states/eV/f.u.; DFT formation energy = 160.52 kJ/mol of atoms
1.0
4.5986 0.0000 0.0000
0.0000 4.5986 0.0000
0.0000 0.0000 4.5986
Ta Hg C
1 3 1
Direct
0.0000 0.0000 0.0000
0.0000 0.5000 0.5000
0.5000 0.0000 0.5000
0.5000 0.5000 0.0000
0.5000 0.5000 0.5000

Copy entry 4 word for word.
SrHgC3, relaxed, DFT GGA-PBE; D(E_F) = 7.6 states/eV/f.u.; DFT formation energy = 336.77 kJ/mol of atoms
1.0
4.7888 0.0000 0.0000
0.0000 4.7888 0.0000
0.0000 0.0000 4.7888
Sr Hg C
1 1 3
Direct
0.0000 0.0000 0.0000
0.5000 0.5000 0.5000
0.0000 0.0000 0.5000
0.0000 0.5000 0.0000
0.5000 0.0000 0.0000

- Which of these has the lowest D(E_F)?
  number 5